[1]
! Pm3Sm8Sc2, relaxed, DFT PBE; values from VASP
! Formation energy from the elements (kJ per mole of atoms): 22.1
! Mass density (g cm⁻³): 6.53
! V (Å³ per cell): 439.1
! Spin magnetization (μB per formula unit): 0.00
! Energy relative to the lowest polymorph listed for this composition (eV per atom): 0.0685
&SYSTEM
  ibrav = 0, nat = 13, ntyp = 3
/
ATOMIC_SPECIES
Pm 145.00 Pm.upf
Sm 150.36 Sm.upf
Sc 44.96 Sc.upf
ATOMIC_POSITIONS crystal
Pm 0.0000 0.0000 0.0000
Pm 0.2907 0.7093 0.5000
Pm 0.7093 0.2907 0.5000
Sm 0.1354 0.1354 0.4997
Sm 0.1803 0.5948 0.9997
Sm 0.3207 0.3207 0.4991
Sm 0.4052 0.8197 0.0003
Sm 0.5948 0.1803 0.9997
Sm 0.6793 0.6793 0.5009
Sm 0.8197 0.4052 0.0003
Sm 0.8646 0.8646 0.5003
Sc 0.2405 0.2405 0.9990
Sc 0.7595 0.7595 0.0010
CELL_PARAMETERS angstrom
9.8876 -3.8925 0.0000
9.8876 3.8925 0.0000
-0.0029 0.0000 5.7042



[2]
! K2CaTiZn, relaxed, DFT PBE; values from VASP
! Formation energy from the elements (kJ per mole of atoms): 67.8
! Mass density (g cm⁻³): 1.85
! V (Å³ per cell): 208.0
! Spin magnetization (μB per formula unit): 2.94
&SYSTEM
  ibrav = 0, nat = 5, ntyp = 4
/
ATOMIC_SPECIES
K 39.10 K.upf
Ca 40.08 Ca.upf
Ti 47.87 Ti.upf
Zn 65.41 Zn.upf
ATOMIC_POSITIONS crystal
K 0.0000 0.5000 0.0000
K 0.5000 0.0000 0.0000
Ca 0.0000 0.0000 0.5000
Ti 0.5000 0.5000 0.5000
Zn 0.5000 0.5000 0.0000
CELL_PARAMETERS angstrom
6.2007 0.0000 0.0000
0.0000 6.2007 0.0000
0.0000 0.0000 5.4094



[3]
! AgSb2Pd7, relaxed, DFT PBE; values from VASP
! Mass density (g cm⁻³): 8.67
! V (Å³ per cell): 210.1
! Spin magnetization (μB per formula unit): 0.00
! Energy relative to the lowest polymorph listed for this composition (eV per atom): 0.2830
&SYSTEM
  ibrav = 0, nat = 10, ntyp = 3
/
ATOMIC_SPECIES
Ag 107.87 Ag.upf
Sb 121.76 Sb.upf
Pd 106.42 Pd.upf
ATOMIC_POSITIONS crystal
Ag 0.0000 0.0000 0.0000
Sb 0.3064 0.6936 0.5000
Sb 0.6936 0.3064 0.5000
Pd 0.0789 0.2925 0.5000
Pd 0.1989 0.8011 0.0000
Pd 0.2925 0.0789 0.5000
Pd 0.5000 0.5000 0.5000
Pd 0.7075 0.9211 0.5000
Pd 0.8011 0.1989 0.0000
Pd 0.9211 0.7075 0.5000
CELL_PARAMETERS angstrom
3.6935 -6.8045 0.0000
3.6935 6.8045 0.0000
0.0000 0.0000 4.1796



[4]
! HoZrRu4, relaxed, DFT PBE; values from VASP
! Formation energy from the elements (kJ per mole of atoms): -30.8
! Mass density (g cm⁻³): 10.61
! V (Å³ per cell): 103.3
! Spin magnetization (μB per formula unit): 0.00
&SYSTEM
  ibrav = 0, nat = 6, ntyp = 3
/
ATOMIC_SPECIES
Ho 164.93 Ho.upf
Zr 91.22 Zr.upf
Ru 101.07 Ru.upf
ATOMIC_POSITIONS crystal
Ho 0.0000 0.0000 0.0000
Zr 0.2500 0.2500 0.2500
Ru 0.1257 0.6248 0.6248
Ru 0.6248 0.1257 0.6248
Ru 0.6248 0.6248 0.1257
Ru 0.6248 0.6248 0.6248
CELL_PARAMETERS angstrom
0.0000 3.7247 3.7247
3.7247 0.0000 3.7247
3.7247 3.7247 0.0000



[5]
! Nd4DyPd2, relaxed, DFT PBE; values from VASP
! Formation energy from the elements (kJ per mole of atoms): -24.8
! Mass density (g cm⁻³): 7.40
! V (Å³ per cell): 213.8
! Spin magnetization (μB per formula unit): 0.00
&SYSTEM
  ibrav = 0, nat = 7, ntyp = 3
/
ATOMIC_SPECIES
Nd 144.24 Nd.upf
Dy 162.50 Dy.upf
Pd 106.42 Pd.upf
ATOMIC_POSITIONS crystal
Nd 0.1184 0.1184 0.1184
Nd 0.2868 0.2868 0.2868
Nd 0.7132 0.7132 0.7132
Nd 0.8816 0.8816 0.8816
Dy 0.5000 0.5000 0.5000
Pd 0.3960 0.3960 0.3960
Pd 0.6040 0.6040 0.6040
CELL_PARAMETERS angstrom
2.6783 1.5463 8.6026
-2.6783 1.5463 8.6026
0.0000 -3.0927 8.6026



[6]
! Sm3ZnTeCl, relaxed, DFT PBE; values from VASP
! Final energy (eV per cell): -52.6
! Mass density (g cm⁻³): 6.86
! V (Å³ per cell): 329.1
! Spin magnetization (μB per formula unit): 0.00
&SYSTEM
  ibrav = 0, nat = 12, ntyp = 4
/
ATOMIC_SPECIES
Sm 150.36 Sm.upf
Zn 65.41 Zn.upf
Te 127.60 Te.upf
Cl 35.45 Cl.upf
ATOMIC_POSITIONS crystal
Sm 0.0287 0.2500 0.2751
Sm 0.2294 0.2500 0.0207
Sm 0.3616 0.7500 0.5899
Sm 0.6384 0.2500 0.4101
Sm 0.7706 0.7500 0.9793
Sm 0.9713 0.7500 0.7249
Zn 0.0725 0.2500 0.5627
Zn 0.9275 0.7500 0.4373
Te 0.3325 0.7500 0.2729
Te 0.6675 0.2500 0.7271
Cl 0.3560 0.7500 0.8808
Cl 0.6440 0.2500 0.1192
CELL_PARAMETERS angstrom
7.9280 0.0000 0.0000
0.0000 4.1930 0.0000
-3.5503 0.0000 9.9002